(1)
Here is AcY3Rh after structural relaxation from Alexandria via LeMat-Bulk. Energies are from PBE.

The structure in extended XYZ format:
```
5
Lattice="-5.431 -0.490 0.737 0.851 -1.634 5.185 -0.242 5.232 1.689" Properties=species:S:1:pos:R:3 pbc="T T T"
Rh 0.000 0.000 0.000
Y 0.426 -0.817 2.593
Y -0.121 2.616 0.844
Y -2.716 -0.245 0.369
Ac -2.411 1.554 3.806
```

***

(2)
Here is Ac3YRh2 after structural relaxation from Alexandria via LeMat-Bulk. Energies are from PBE.

The structure in extended XYZ format:
```
12
Lattice="-4.195 -0.934 0.466 0.033 -8.729 2.860 -1.347 1.456 10.845" Properties=species:S:1:pos:R:3 pbc="T T T"
Ac -4.126 -5.220 12.553
Ac -1.334 0.472 8.988
Ac -4.175 -8.679 5.183
Ac -1.383 -2.987 1.617
Ac -4.159 -6.954 8.781
Ac -1.350 -1.253 5.389
Rh -3.455 -0.800 7.397
Rh -4.821 -2.945 10.854
Rh -2.054 -7.406 6.774
Rh -0.688 -5.261 3.316
Y -2.777 -3.106 8.882
Y -2.732 -5.101 5.289
```

***

(3)
Here is AcYRh after structural relaxation from Alexandria via LeMat-Bulk. Energies are from PBE.

The structure in extended XYZ format:
```
3
Lattice="-1.693 -2.371 -2.169 3.191 -1.529 -0.819 -1.435 -2.191 6.555" Properties=species:S:1:pos:R:3 pbc="T T T"
Rh 0.504 -3.430 0.314
Y -0.397 -2.397 2.930
Ac -0.044 -0.264 0.323
```

ΔE to the lowest computed polymorph: 135 meV/atom

***

(4)
Here is AcYRh after structural relaxation from Alexandria via LeMat-Bulk. Energies are from PBE.

The structure in extended XYZ format:
```
3
Lattice="5.040 0.000 0.000 2.520 4.365 0.000 2.520 1.455 4.115" Properties=species:S:1:pos:R:3 pbc="T T T"
Rh 2.520 1.455 1.029
Ac 0.000 0.000 0.000
Y 5.040 2.910 2.058
```

ΔE to the lowest computed polymorph: 131 meV/atom

***

(5)
Here is AcYRh after structural relaxation from Alexandria via LeMat-Bulk. Energies are from PBE.

The structure in extended XYZ format:
```
12
Lattice="-7.166 0.593 -0.141 0.023 -1.296 -6.611 -0.682 -7.753 2.052" Properties=species:S:1:pos:R:3 pbc="T T T"
Rh -2.296 -5.480 -2.062
Rh -5.529 -2.976 -2.639
Rh -1.811 -0.969 0.221
Rh -6.014 -7.487 -4.921
Y -3.269 -3.058 -0.988
Y -1.154 -7.784 -3.220
Y -6.671 -0.672 -1.481
Y -4.556 -5.398 -3.712
Ac -3.582 -6.918 0.177
Ac -0.843 -3.887 -4.107
Ac -4.243 -1.538 -4.878
Ac -6.982 -4.569 -0.593
```

ΔE to the lowest computed polymorph: 25 meV/atom

***

(6)
Here is Ac2YRh2 after structural relaxation from Alexandria via LeMat-Bulk. Energies are from PBE.

The structure in extended XYZ format:
```
10
Lattice="4.081 0.000 -0.963 0.000 10.042 0.000 -0.454 0.000 7.208" Properties=species:S:1:pos:R:3 pbc="T T T"
Rh 3.627 6.758 6.242
Rh 0.001 1.737 0.003
Rh 0.841 9.271 3.565
Rh 2.787 4.250 2.680
Ac 2.489 7.402 1.419
Ac 2.491 1.098 1.428
Ac 1.139 2.381 4.826
Ac 1.137 6.119 4.817
Y 3.323 9.271 4.953
Y 0.305 4.250 1.293
```

***

Number 1: E -6.46 eV per atom, formation energy from the elements -0.29 eV/atom. Number 2: E -6.12 eV per atom, formation energy from the elements -0.54 eV/atom. Number 3: E -6.40 eV per atom, formation energy from the elements -0.42 eV/atom. Number 4: E -6.40 eV per atom, formation energy from the elements -0.43 eV/atom. Number 5: E -6.51 eV per atom, formation energy from the elements -0.53 eV/atom. Number 6: E -6.50 eV per atom, formation energy from the elements -0.62 eV/atom.